1.
A plane-wave DFT calculation with PBE was carried out for a relaxed Cu3HBr crystal.

Cell: 4.7478 4.7478 4.7478 Å, 90.00 90.00 90.00°
Space group Pm-3m (No. 221)
Inequivalent atoms, fractional coordinates:
Cu (0.0000, 0.0000, 0.5000) (multiplicity 3)
H (0.5000, 0.5000, 0.5000) (multiplicity 1)
Br (0.0000, 0.0000, 0.0000) (multiplicity 1)

Uncorrected energy = -11.08 eV for the cell shown
DOS at the Fermi energy = 1.37 states/eV per cell
Total magnetic moment = 0.0 μB per cell

=====

2.
A plane-wave DFT calculation with PBE was carried out for a relaxed CuH2Br crystal.

Cell: 5.1100 5.1100 7.8048 Å, 90.00 90.00 90.00°
Space group I-42d (No. 122)
Inequivalent atoms, fractional coordinates:
Cu (0.0000, 0.0000, 0.0000) (multiplicity 4)
H (0.0516, 0.2500, 0.1250) (multiplicity 8)
Br (0.0000, 0.0000, 0.5000) (multiplicity 4)

Uncorrected energy = -41.56 eV for the cell shown
DOS at the Fermi energy = 0.06 states/eV per cell
Total magnetic moment = 0.0 μB per cell

=====

3.
A plane-wave DFT calculation with PBE was carried out for a relaxed CuHBr4 crystal.

Cell: 6.3210 16.5860 6.4307 Å, 90.00 104.83 90.00°
Space group C2/c (No. 15)
Inequivalent atoms, fractional coordinates:
Cu (0.0000, 0.0573, 0.2500) (multiplicity 4)
H (0.0000, 0.3319, 0.7500) (multiplicity 4)
Br (0.2226, 0.1749, 0.1371) (multiplicity 8)
Br (0.2389, 0.0498, 0.6037) (multiplicity 8)

Uncorrected energy = -59.32 eV for the cell shown
DOS at the Fermi energy = 13.49 states/eV per cell
Total magnetic moment = 0.0 μB per cell

=====

4.
A plane-wave DFT calculation with PBE was carried out for a relaxed CuHBr2 crystal.

Cell: 6.4914 6.5460 6.7147 Å, 115.10 111.66 100.51°
Space group P1 (No. 1)
Inequivalent atoms, fractional coordinates:
Cu (0.0000, 0.0000, 0.0000) (multiplicity 1)
Cu (0.1598, 0.6585, 0.5016) (multiplicity 1)
H (0.6740, 0.4805, 0.6860) (multiplicity 1)
H (0.7947, 0.9834, 0.3154) (multiplicity 1)
Br (0.0204, 0.9578, 0.6273) (multiplicity 1)
Br (0.3314, 0.3912, 0.3750) (multiplicity 1)
Br (0.6645, 0.0221, 0.1065) (multiplicity 1)
Br (0.9235, 0.5608, 0.8938) (multiplicity 1)

Uncorrected energy = -23.09 eV for the cell shown
DOS at the Fermi energy = 0.00 states/eV per cell
Total magnetic moment = 0.1 μB per cell

=====

5.
A plane-wave DFT calculation with PBE was carried out for a relaxed CuHBr2 crystal.

Cell: 3.7267 3.7267 21.4002 Å, 90.00 90.00 120.00°
Space group R-3m (No. 166, hexagonal axes)
Inequivalent atoms, fractional coordinates:
Cu (0.0000, 0.0000, 0.0000) (multiplicity 3)
H (0.0000, 0.0000, 0.5000) (multiplicity 3)
Br (0.0000, 0.0000, 0.1046) (multiplicity 6)

Uncorrected energy = -27.76 eV for the cell shown
DOS at the Fermi energy = 1.42 states/eV per cell
Total magnetic moment = 0.0 μB per cell

=====

6.
A plane-wave DFT calculation with PBE was carried out for a relaxed CuHBr3 crystal.

Cell: 4.0191 7.2216 11.4220 Å, 74.16 86.57 86.03°
Space group P-1 (No. 2)
Inequivalent atoms, fractional coordinates:
Cu (0.1417, 0.2260, 0.1987) (multiplicity 2)
H (0.2491, 0.6689, 0.0938) (multiplicity 2)
Br (0.1044, 0.9275, 0.6098) (multiplicity 2)
Br (0.1692, 0.5683, 0.2233) (multiplicity 2)
Br (0.3283, 0.8373, 0.9034) (multiplicity 2)

Uncorrected energy = -27.05 eV for the cell shown
Total magnetic moment = 0.0 μB per cell

=====

7.
A plane-wave DFT calculation with PBE was carried out for a relaxed CuH2IBr crystal.

Cell: 3.9254 3.9254 5.7372 Å, 90.00 90.00 90.00°
Space group P4/mmm (No. 123)
Inequivalent atoms, fractional coordinates:
Cu (0.0000, 0.0000, 0.0000) (multiplicity 1)
H (0.0000, 0.5000, 0.5000) (multiplicity 2)
I (0.0000, 0.0000, 0.5000) (multiplicity 1)
Br (0.5000, 0.5000, 0.0000) (multiplicity 1)

Uncorrected energy = -12.27 eV for the cell shown
DOS at the Fermi energy = 1.01 states/eV per cell
Total magnetic moment = 0.0 μB per cell

=====

8.
A plane-wave DFT calculation with PBE was carried out for a relaxed MgCuH2Br crystal.

Cell: 3.6695 3.6695 7.3323 Å, 90.00 90.00 90.00°
Space group P4/mmm (No. 123)
Inequivalent atoms, fractional coordinates:
Mg (0.0000, 0.0000, 0.0000) (multiplicity 1)
Cu (0.5000, 0.5000, 0.0000) (multiplicity 1)
H (0.0000, 0.5000, 0.5000) (multiplicity 2)
Br (0.5000, 0.5000, 0.5000) (multiplicity 1)

Uncorrected energy = -11.04 eV for the cell shown
DOS at the Fermi energy = 1.78 states/eV per cell
Total magnetic moment = 0.0 μB per cell

=====

> Number 2 is which compound?

CuH2Br

=====

> The lowest uncorrected energy belongs to which entry?

CuHBr4